GeBiF2: relaxed, GGA-PBE.

Summary:
As for the space-group type: R-3m, No. 166. For the energy relative to the elements, uncorrected, the calculation gives -117.2 kJ per mole of atoms. The calculation puts the excess energy over the best structure of this formula in the dataset at 14.9 meV/atom.

a b c (Å): 8.5102 8.5102 8.5102
angles (deg): 21.74 21.74 21.74
With the nearest neighbours (Å) after each atom.
Element x y z (fractional)
Ge: 0.0000 0.0000 0.0000  2 F 2.15
Bi: 0.5000 0.5000 0.5000  6 F 2.73
F: 0.9136 0.9136 0.9136  1 Ge 2.15
F: 0.0864 0.0864 0.0864  1 Ge 2.15

Nd2AsI2: relaxed, GGA-PBE.

Summary:
As for the space-group type: C2/m, No. 12. For the energy relative to the elements, uncorrected, the calculation gives -145.2 kJ per mole of atoms.

a b c (Å): 4.3195 4.3195 12.2532
angles (deg): 80.94 79.85 60.00
With the nearest neighbours (Å) after each atom.
Element x y z (fractional)
Nd: 0.7162 0.2020 0.3655  3 As 2.97, 3 I 3.24-3.25
Nd: 0.2838 0.7980 0.6345  3 As 2.97, 3 I 3.24-3.25
As: 0.0000 0.5000 0.5000  6 Nd 2.97
I: 0.4465 0.9141 0.1928  3 Nd 3.24-3.25
I: 0.5535 0.0859 0.8072  3 Nd 3.24-3.25

AgC2: relaxed, GGA-PBE.

Summary:
As for the space-group type: C2/m, No. 12. For the formation energy from the elements, the calculation gives 0.92 eV per atom. The calculation puts the excess energy over the best structure of this formula in the dataset at 591.8 meV/atom.

a b c (Å): 7.3007 7.3007 5.1003
angles (deg): 82.47 82.47 144.92
With the nearest neighbours (Å) after each atom.
Element x y z (fractional)
Ag: 0.0000 0.0000 0.0000  2 C 2.28
Ag: 0.7009 0.2991 0.5000  2 C 2.16
Ag: 0.2991 0.7009 0.5000  2 C 2.16
C: 0.7561 0.9349 0.4937  2 C 1.39-1.46
C: 0.3252 0.3252 0.5101  3 C 1.46-1.50
C: 0.9349 0.7561 0.4937  2 C 1.39-1.46
C: 0.0651 0.2439 0.5063  2 C 1.39-1.46
C: 0.6748 0.6748 0.4899  3 C 1.46-1.50
C: 0.2439 0.0651 0.5063  2 C 1.39-1.46

ScCo5Si3: relaxed, GGA-PBE.

Summary:
As for the space-group type: Cmcm, No. 63. For the energy relative to the elements, uncorrected, the calculation gives -44.8 kJ per mole of atoms.

a b c (Å): 3.6539 6.1395 10.9742
angles (deg): 90.00 90.00 107.31
With the nearest neighbours (Å) after each atom.
Element x y z (fractional)
Sc: 0.8277 0.6553 0.7500  6 Si 2.93-3.12, 4 Co 3.15
Sc: 0.1723 0.3447 0.2500  6 Si 2.93-3.12, 4 Co 3.15
Co: 0.8057 0.6114 0.4350  4 Si 2.18-2.38, 1 Co 2.39
Co: 0.1943 0.3886 0.9350  4 Si 2.18-2.38, 1 Co 2.39
Co: 0.0000 0.0000 0.5000  4 Si 2.37, 6 Co 2.39-2.49
Co: 0.0000 0.0000 0.0000  4 Si 2.37, 6 Co 2.39-2.49
Co: 0.4492 0.8984 0.1442  4 Si 2.27-2.28, 3 Co 2.32-2.49
Co: 0.5508 0.1016 0.8558  4 Si 2.27-2.28, 3 Co 2.32-2.49
Co: 0.5508 0.1016 0.6442  4 Si 2.27-2.28, 3 Co 2.32-2.49
Co: 0.8057 0.6114 0.0650  4 Si 2.18-2.38, 1 Co 2.39
Co: 0.1943 0.3886 0.5650  4 Si 2.18-2.38, 1 Co 2.39
Co: 0.4492 0.8984 0.3558  4 Si 2.27-2.28, 3 Co 2.32-2.49
Si: 0.3794 0.7588 0.9512  7 Co 2.18-2.38
Si: 0.8876 0.7753 0.2500  6 Co 2.25-2.28
Si: 0.3794 0.7588 0.5488  7 Co 2.18-2.38
Si: 0.6206 0.2412 0.4512  7 Co 2.18-2.38
Si: 0.1124 0.2247 0.7500  6 Co 2.25-2.28
Si: 0.6206 0.2412 0.0488  7 Co 2.18-2.38

Ba3SmB2O8: relaxed, GGA-PBE.

Summary:
As for the space-group type: P-3m1, No. 164. For the energy relative to the elements, uncorrected, the calculation gives -257.1 kJ per mole of atoms.

a b c (Å): 5.6732 5.6732 7.3946
angles (deg): 90.00 90.00 120.00
With the nearest neighbours (Å) after each atom.
Element x y z (fractional)
Ba: 0.3333 0.6667 0.6954  7 O 2.59-2.85
Ba: 0.6667 0.3333 0.3046  7 O 2.59-2.85
Ba: 0.0000 0.0000 0.0000  12 O 2.97-3.29
Sm: 0.0000 0.0000 0.5000  6 O 2.31
B: 0.3333 0.6667 0.2440  4 O 1.46-1.51
B: 0.6667 0.3333 0.7560  4 O 1.46-1.51
O: 0.3333 0.6667 0.0460  1 B 1.46
O: 0.6667 0.3333 0.9540  1 B 1.46
O: 0.1886 0.8114 0.3138  1 B 1.51
O: 0.8114 0.1886 0.6862  1 B 1.51
O: 0.1886 0.3773 0.3138  1 B 1.51
O: 0.8114 0.6227 0.6862  1 B 1.51
O: 0.6227 0.8114 0.3138  1 B 1.51
O: 0.3773 0.1886 0.6862  1 B 1.51

In12Ge3F5: relaxed, GGA-PBE.

Summary:
As for the space-group type: Ia-3d, No. 230. For the energy relative to the elements, uncorrected, the calculation gives -57.0 kJ per mole of atoms.

a b c (Å): 13.9425 13.9425 13.9425
angles (deg): 109.47 109.47 109.47
With the nearest neighbours (Å) after each atom.
Element x y z (fractional)
Ge: 0.7500 0.3750 0.1250  8 In 3.05-3.09
Ge: 0.8750 0.7500 0.1250  8 In 3.05-3.09
Ge: 0.3750 0.7500 0.6250  8 In 3.05-3.09
Ge: 0.2500 0.1250 0.3750  8 In 3.05-3.09
Ge: 0.8750 0.1250 0.2500  8 In 3.05-3.09
Ge: 0.3750 0.6250 0.2500  8 In 3.05-3.09
Ge: 0.6250 0.3750 0.7500  8 In 3.05-3.09
Ge: 0.1250 0.8750 0.7500  8 In 3.05-3.09
Ge: 0.7500 0.8750 0.6250  8 In 3.05-3.09
Ge: 0.6250 0.2500 0.3750  8 In 3.05-3.09
Ge: 0.1250 0.2500 0.8750  8 In 3.05-3.09
Ge: 0.2500 0.6250 0.8750  8 In 3.05-3.09
F: 0.1250 0.3750 0.2500  4 In 2.47
F: 0.0000 0.5000 0.0000  6 In 2.68
F: 0.0000 0.0000 0.0000  6 In 2.68
F: 0.3750 0.2500 0.1250  4 In 2.47
F: 0.5000 0.0000 0.5000  6 In 2.68
F: 0.5000 0.5000 0.0000  6 In 2.68
F: 0.1250 0.7500 0.3750  4 In 2.47
F: 0.7500 0.1250 0.8750  4 In 2.47
F: 0.7500 0.6250 0.3750  4 In 2.47
F: 0.3750 0.1250 0.7500  4 In 2.47
F: 0.6250 0.8750 0.2500  4 In 2.47
F: 0.5000 0.5000 0.5000  6 In 2.68
F: 0.5000 0.0000 0.0000  6 In 2.68
F: 0.0000 0.0000 0.5000  6 In 2.68
F: 0.2500 0.3750 0.6250  4 In 2.47
F: 0.2500 0.8750 0.1250  4 In 2.47
F: 0.0000 0.5000 0.5000  6 In 2.68
F: 0.8750 0.2500 0.6250  4 In 2.47
F: 0.6250 0.7500 0.8750  4 In 2.47
F: 0.8750 0.6250 0.7500  4 In 2.47
In: 0.7159 0.1252 0.0380  2 F 2.47-2.68
In: 0.3222 0.5380 0.4128  2 F 2.47-2.68
In: 0.9620 0.3748 0.2841  2 F 2.47-2.68
In: 0.5380 0.2159 0.1252  2 F 2.47-2.68
In: 0.5907 0.7159 0.6778  2 F 2.47-2.68
In: 0.9620 0.5872 0.1778  2 F 2.47-2.68
In: 0.3222 0.7841 0.4093  2 F 2.47-2.68
In: 0.0872 0.9093 0.1252  2 F 2.47-2.68
In: 0.5872 0.9620 0.6778  2 F 2.47-2.68
In: 0.7159 0.5907 0.1778  2 F 2.47-2.68
In: 0.7841 0.4620 0.3748  2 F 2.47-2.68
In: 0.8222 0.9128 0.0380  2 F 2.47-2.68
In: 0.1252 0.7159 0.5380  2 F 2.47-2.68
In: 0.3748 0.4128 0.0907  2 F 2.47-2.68
In: 0.0907 0.9128 0.3748  2 F 2.47-2.68
In: 0.4093 0.1252 0.5872  2 F 2.47-2.68
In: 0.0907 0.1778 0.2159  2 F 2.47-2.68
In: 0.4620 0.6778 0.0872  2 F 2.47-2.68
In: 0.8222 0.9093 0.2841  2 F 2.47-2.68
In: 0.1252 0.4093 0.0872  2 F 2.47-2.68
In: 0.3748 0.9620 0.7841  2 F 2.47-2.68
In: 0.5872 0.6252 0.4093  2 F 2.47-2.68
In: 0.9128 0.8222 0.5380  2 F 2.47-2.68
In: 0.7841 0.3222 0.9093  2 F 2.47-2.68
In: 0.4128 0.3748 0.5907  2 F 2.47-2.68
In: 0.0872 0.1778 0.4620  2 F 2.47-2.68
In: 0.2159 0.6778 0.0907  2 F 2.47-2.68
In: 0.1778 0.0907 0.7159  2 F 2.47-2.68
In: 0.6252 0.0380 0.2159  2 F 2.47-2.68
In: 0.8748 0.5907 0.9128  2 F 2.47-2.68
In: 0.5380 0.3222 0.9128  2 F 2.47-2.68
In: 0.5907 0.8748 0.4128  2 F 2.47-2.68
In: 0.9093 0.8222 0.7841  2 F 2.47-2.68
In: 0.9093 0.0872 0.6252  2 F 2.47-2.68
In: 0.8748 0.2841 0.4620  2 F 2.47-2.68
In: 0.1778 0.0872 0.9620  2 F 2.47-2.68
In: 0.6252 0.5872 0.9093  2 F 2.47-2.68
In: 0.4128 0.0380 0.3222  2 F 2.47-2.68
In: 0.2841 0.4093 0.8222  2 F 2.47-2.68
In: 0.2159 0.5380 0.6252  2 F 2.47-2.68
In: 0.9128 0.0907 0.8748  2 F 2.47-2.68
In: 0.6778 0.2159 0.5907  2 F 2.47-2.68
In: 0.4620 0.7841 0.8748  2 F 2.47-2.68
In: 0.0380 0.4128 0.8222  2 F 2.47-2.68
In: 0.4093 0.2841 0.3222  2 F 2.47-2.68
In: 0.0380 0.6252 0.7159  2 F 2.47-2.68
In: 0.6778 0.4620 0.5872  2 F 2.47-2.68
In: 0.2841 0.8748 0.9620  2 F 2.47-2.68

KCo3Bi: relaxed, GGA-PBE.

Summary:
As for the space-group type: Pm-3m, No. 221. For the formation energy from the elements, the calculation gives 1.20 eV per atom. The calculation puts the excess energy over the best structure of this formula in the dataset at 0.0 meV/atom.

a b c (Å): 5.0345 5.0345 5.0345
angles (deg): 90.00 90.00 90.00
With the nearest neighbours (Å) after each atom.
Element x y z (fractional)
K: 0.5000 0.5000 0.5000  12 Co 3.56
Co: 0.0000 0.5000 0.0000  2 Bi 2.52
Co: 0.0000 0.0000 0.5000  2 Bi 2.52
Co: 0.5000 0.0000 0.0000  2 Bi 2.52
Bi: 0.0000 0.0000 0.0000  6 Co 2.52

Pm8Sm2Y: relaxed, GGA-PBE.

Summary:
As for the space-group type: C2/m, No. 12. For the formation energy from the elements, the calculation gives 0.16 eV per atom. The calculation puts the excess energy over the best structure of this formula in the dataset at 144.7 meV/atom.

a b c (Å): 5.7258 10.2668 10.2668
angles (deg): 40.53 93.53 93.53
With the nearest neighbours (Å) after each atom.
Element x y z (fractional)
Pm: 0.2688 0.1353 0.6059  4 Pm 3.35-3.67, 3 Sm 3.52-3.74, 1 Y 3.55
Pm: 0.2688 0.6059 0.1353  4 Pm 3.35-3.67, 3 Sm 3.52-3.74, 1 Y 3.55
Pm: 0.7312 0.8647 0.3941  4 Pm 3.35-3.67, 3 Sm 3.52-3.74, 1 Y 3.55
Pm: 0.2352 0.5446 0.5446  1 Pm 3.10, 1 Sm 3.29
Pm: 0.7312 0.3941 0.8647  4 Pm 3.35-3.67, 3 Sm 3.52-3.74, 1 Y 3.55
Pm: 0.2281 0.1868 0.1868  4 Sm 3.38-3.60, 4 Pm 3.53-3.67, 1 Y 3.75
Pm: 0.7719 0.8132 0.8132  4 Sm 3.38-3.60, 4 Pm 3.53-3.67, 1 Y 3.75
Pm: 0.7648 0.4554 0.4554  1 Pm 3.10, 1 Sm 3.29
Sm: 0.7417 0.2842 0.2842  9 Pm 3.29-3.67
Sm: 0.2583 0.7158 0.7158  9 Pm 3.29-3.67
Y: 0.0000 0.0000 0.0000  10 Pm 3.55-3.88

BCl2: relaxed, GGA-PBE.

Summary:
As for the space-group type: Pbca, No. 61. For the energy relative to the elements, uncorrected, the calculation gives -72.2 kJ per mole of atoms.

a b c (Å): 6.9399 8.3875 12.8697
angles (deg): 90.00 90.00 90.00
With the nearest neighbours (Å) after each atom.
Element x y z (fractional)
B: 0.3968 0.0527 0.5134  1 B 1.72, 2 Cl 1.74-1.75
B: 0.8968 0.4473 0.4866  1 B 1.72, 2 Cl 1.74-1.75
B: 0.6032 0.5527 0.9866  1 B 1.72, 2 Cl 1.74-1.75
B: 0.1032 0.9473 0.0134  1 B 1.72, 2 Cl 1.74-1.75
B: 0.6032 0.9473 0.4866  1 B 1.72, 2 Cl 1.74-1.75
B: 0.1032 0.5527 0.5134  1 B 1.72, 2 Cl 1.74-1.75
B: 0.3968 0.4473 0.0134  1 B 1.72, 2 Cl 1.74-1.75
B: 0.8968 0.0527 0.9866  1 B 1.72, 2 Cl 1.74-1.75
Cl: 0.7985 0.0550 0.8618  1 B 1.74
Cl: 0.2985 0.4450 0.1382  1 B 1.74
Cl: 0.2015 0.5550 0.6382  1 B 1.74
Cl: 0.7015 0.9450 0.3618  1 B 1.74
Cl: 0.2015 0.9450 0.1382  1 B 1.74
Cl: 0.7015 0.5550 0.8618  1 B 1.74
Cl: 0.7985 0.4450 0.3618  1 B 1.74
Cl: 0.2985 0.0550 0.6382  1 B 1.74
Cl: 0.2798 0.1597 0.4149  1 B 1.75
Cl: 0.7798 0.3403 0.5851  1 B 1.75
Cl: 0.7202 0.6597 0.0851  1 B 1.75
Cl: 0.2202 0.8403 0.9149  1 B 1.75
Cl: 0.7202 0.8403 0.5851  1 B 1.75
Cl: 0.2202 0.6597 0.4149  1 B 1.75
Cl: 0.2798 0.3403 0.9149  1 B 1.75
Cl: 0.7798 0.1597 0.0851  1 B 1.75

Ca2AsPt6: relaxed, GGA-PBE.

Summary:
As for the space-group type: C2/m, No. 12. For the formation energy from the elements, the calculation gives -0.72 eV per atom.

a b c (Å): 5.6354 5.6424 6.2378
angles (deg): 77.52 90.00 119.96
With the nearest neighbours (Å) after each atom.
Element x y z (fractional)
Ca: 0.6422 0.2843 0.1462  9 Pt 2.98-3.20
Ca: 0.3578 0.7157 0.8538  9 Pt 2.98-3.20
As: 0.0000 0.0000 0.0000  6 Pt 2.48-2.53
Pt: 0.8811 0.2771 0.6892  1 As 2.53, 4 Pt 2.73-2.83
Pt: 0.8825 0.7650 0.6908  1 As 2.48, 2 Pt 2.75
Pt: 0.3960 0.2771 0.6892  1 As 2.53, 4 Pt 2.73-2.83
Pt: 0.1189 0.7229 0.3108  1 As 2.53, 4 Pt 2.73-2.83
Pt: 0.1175 0.2350 0.3092  1 As 2.48, 2 Pt 2.75
Pt: 0.6040 0.7229 0.3108  1 As 2.53, 4 Pt 2.73-2.83